[1]
La7Ce2Sm2 | Alexandria | PBE | optimized geometry; calculated formation energy = 0.177 eV per atom; density of states at the Fermi level = 2.128 states/eV/atom; total magnetization = 1.479 Bohr magnetons per cell
1.0
-2.576 7.088 -5.814
1.496 -9.120 -1.104
-4.033 -7.890 3.487
La Ce Sm
7 2 2
direct
0.543 0.351 0.014 La
0.014 0.649 0.543 La
0.457 0.649 0.986 La
0.986 0.351 0.457 La
0.499 0.180 0.501 La
0.000 0.000 0.000 La
0.501 0.820 0.499 La
0.799 0.500 0.799 Ce
0.201 0.500 0.201 Ce
0.236 0.009 0.764 Sm
0.764 0.991 0.236 Sm



[2]
CrOsAu2 | Alexandria | PBE | optimized geometry; calculated formation energy = 0.468 eV per atom; density of states at the Fermi level = 1.073 states/eV/atom; total magnetization = 2.324 Bohr magnetons per cell
1.0
-1.203 -2.657 -2.643
1.683 -2.862 2.111
-3.474 -0.504 2.088
Au Cr Os
2 1 1
direct
0.000 0.000 0.000 Au
0.500 0.500 0.000 Au
0.500 0.000 0.500 Cr
0.000 0.500 0.500 Os



Which value of total magnetization does entry 2 give? 2.324 Bohr magnetons per cell



The highest density of states at the Fermi level belongs to which entry? La7Ce2Sm2